Entry 1:
An optimized crystal structure of Ca2Zr4C. Source: the Alexandria database, functional PBE.

a = 9.3544 Å, b = 9.3544 Å, c = 9.3544 Å
α = 151.38°, β = 151.38°, γ = 40.92°
Last column: nearest neighbours and their distance in Å.
Fractional coordinates of all 7 atoms:
Ca 0.1674 0.1674 0.0000  9 Zr 3.37-3.74
Ca 0.8326 0.8326 0.0000  9 Zr 3.37-3.74
Zr 0.0000 0.5000 0.5000  2 C 2.31
Zr 0.3780 0.3780 0.0000  1 C 2.14
Zr 0.5000 0.0000 0.5000  2 C 2.31
Zr 0.6220 0.6220 0.0000  1 C 2.14
C 0.5000 0.5000 0.0000  6 Zr 2.14-2.31

Formation enthalpy at 0 K: 98 meV per atom
N(E_F): 6.4 states/eV/cell
Calculated volume: 26.8 A^3/atom


Entry 2:
An optimized crystal structure of CaZr3C. Source: the Alexandria database, functional PBE.

a = 4.7341 Å, b = 4.7341 Å, c = 4.7341 Å
α = 90.00°, β = 90.00°, γ = 90.00°
Last column: nearest neighbours and their distance in Å.
Fractional coordinates of all 5 atoms:
Ca 0.0000 0.0000 0.0000  12 Zr 3.35
Zr 0.0000 0.5000 0.5000  2 C 2.37
Zr 0.5000 0.0000 0.5000  2 C 2.37
Zr 0.5000 0.5000 0.0000  2 C 2.37
C 0.5000 0.5000 0.5000  6 Zr 2.37

Formation enthalpy at 0 K: -36 meV per atom
N(E_F): 5.0 states/eV/cell
Calculated volume: 21.2 A^3/atom
E above lowest polymorph: 0 meV/atom


Entry 3:
An optimized crystal structure of CaZrC2. Source: the Alexandria database, functional PBE.

a = 5.5999 Å, b = 5.5999 Å, c = 5.5999 Å
α = 113.22°, β = 113.22°, γ = 102.21°
Last column: nearest neighbours and their distance in Å.
Fractional coordinates of all 8 atoms:
Ca 0.0000 0.0000 0.0000  4 C 2.52
Ca 0.7500 0.2500 0.5000  4 C 2.52
Zr 0.2500 0.7500 0.5000  4 C 2.19
Zr 0.5000 0.5000 0.0000  4 C 2.19
C 0.1653 0.6250 0.0403  2 Zr 2.19
C 0.3750 0.4153 0.5403  2 Zr 2.19
C 0.5847 0.1250 0.9597  2 Zr 2.19
C 0.8750 0.8347 0.4597  2 Zr 2.19

Formation enthalpy at 0 K: 474 meV per atom
N(E_F): 3.9 states/eV/cell
Calculated volume: 16.7 A^3/atom
E above lowest polymorph: 0 meV/atom


Entry 4:
An optimized crystal structure of CaZr3C. Source: the Alexandria database, functional PBE.

a = 4.9622 Å, b = 4.9622 Å, c = 4.9622 Å
α = 90.00°, β = 90.00°, γ = 90.00°
Last column: nearest neighbours and their distance in Å.
Fractional coordinates of all 5 atoms:
Ca 0.0000 0.0000 0.0000  6 Zr 2.48
Zr 0.0000 0.0000 0.5000  2 Ca 2.48
Zr 0.0000 0.5000 0.0000  2 Ca 2.48
Zr 0.5000 0.0000 0.0000  2 Ca 2.48
C 0.5000 0.5000 0.5000  12 Zr 3.51

Formation enthalpy at 0 K: 2863 meV per atom
N(E_F): 8.8 states/eV/cell
Calculated volume: 24.4 A^3/atom
E above lowest polymorph: 2898 meV/atom


Number 1: magnetization 0.00 μB/f.u.. Number 2: magnetization 0.00 μB/f.u.. Number 3: magnetization 0.00 μB/f.u.. Number 4: magnetization 0.00 μB/f.u..